[1]
# CdSb2Au, single point on PBEsol structure, DFT SCAN
# Calculated total energy ... -43.355 eV per atom
# Crystal system ... orthorhombic
# Size of the total moment ... 0.0000 μB per atom
data_CdSb2Au
_cell_length_a 6.024
_cell_length_b 7.690
_cell_length_c 3.933
_cell_angle_alpha 90.00
_cell_angle_beta 90.00
_cell_angle_gamma 90.00
_space_group_name_H-M_alt 'C m m m'
_space_group_IT_number 65
_space_group_name_Hall '-C 2 2'
loop_
_atom_site_label
_atom_site_type_symbol
_atom_site_fract_x
_atom_site_fract_y
_atom_site_fract_z
Cd1 Cd 0.000 0.000 0.000
Sb1 Sb 0.250 0.250 0.500
Au1 Au 0.000 0.500 0.000

[2]
# CdSbAu2, single point on PBEsol structure, DFT SCAN
# Calculated total energy ... -51.646 eV per atom
# Crystal system ... tetragonal
# Size of the total moment ... 0.0000 μB per atom
# Energy above the lowest structure with this stoichiometry ... 0.00 eV/f.u.
data_CdSbAu2
_cell_length_a 3.966
_cell_length_b 3.966
_cell_length_c 5.580
_cell_angle_alpha 90.00
_cell_angle_beta 90.00
_cell_angle_gamma 90.00
_space_group_name_H-M_alt 'P 4/m m m'
_space_group_IT_number 123
_space_group_name_Hall '-P 4 2'
loop_
_atom_site_label
_atom_site_type_symbol
_atom_site_fract_x
_atom_site_fract_y
_atom_site_fract_z
Cd1 Cd 0.000 0.000 0.000
Sb1 Sb 0.500 0.500 0.500
Au1 Au 0.000 0.000 0.500
Au2 Au 0.500 0.500 0.000

[3]
# CdSb2Au, single point on PBEsol structure, DFT SCAN
# Calculated total energy ... -43.324 eV per atom
# Crystal system ... tetragonal
# Size of the total moment ... 0.0000 μB per atom
data_CdSb2Au
_cell_length_a 4.622
_cell_length_b 4.622
_cell_length_c 8.480
_cell_angle_alpha 90.00
_cell_angle_beta 90.00
_cell_angle_gamma 90.00
_space_group_name_H-M_alt 'I 4/m m m'
_space_group_IT_number 139
_space_group_name_Hall '-I 4 2'
loop_
_atom_site_label
_atom_site_type_symbol
_atom_site_fract_x
_atom_site_fract_y
_atom_site_fract_z
Cd1 Cd 0.000 0.000 0.000
Sb1 Sb 0.000 0.500 0.250
Au1 Au 0.000 0.000 0.500

[4]
# CdSb2Au, single point on PBEsol structure, DFT SCAN
# Calculated total energy ... -43.591 eV per atom
# Crystal system ... monoclinic
# Size of the total moment ... 0.0000 μB per atom
data_CdSb2Au
_cell_length_a 7.042
_cell_length_b 4.043
_cell_length_c 7.206
_cell_angle_alpha 90.00
_cell_angle_beta 108.51
_cell_angle_gamma 90.00
_space_group_name_H-M_alt 'C 1 2/m 1'
_space_group_IT_number 12
_space_group_name_Hall '-C 2y'
loop_
_atom_site_label
_atom_site_type_symbol
_atom_site_fract_x
_atom_site_fract_y
_atom_site_fract_z
Cd1 Cd 0.000 0.000 0.000
Sb1 Sb 0.240 0.000 0.720
Au1 Au 0.000 0.500 0.500

[5]
# CdSbAu2, single point on PBEsol structure, DFT SCAN
# Calculated total energy ... -51.472 eV per atom
# Crystal system ... tetragonal
# Size of the total moment ... 0.0000 μB per atom
# Energy above the lowest structure with this stoichiometry ... 0.70 eV/f.u.
data_CdSbAu2
_cell_length_a 4.336
_cell_length_b 4.336
_cell_length_c 8.376
_cell_angle_alpha 90.00
_cell_angle_beta 90.00
_cell_angle_gamma 90.00
_space_group_name_H-M_alt 'I 4/m m m'
_space_group_IT_number 139
_space_group_name_Hall '-I 4 2'
loop_
_atom_site_label
_atom_site_type_symbol
_atom_site_fract_x
_atom_site_fract_y
_atom_site_fract_z
Cd1 Cd 0.000 0.000 0.000
Sb1 Sb 0.000 0.000 0.500
Au1 Au 0.000 0.500 0.250

[6]
# CdSbAu2, single point on PBEsol structure, DFT SCAN
# Calculated total energy ... -51.639 eV per atom
# Crystal system ... monoclinic
# Size of the total moment ... 0.0001 μB per atom
# Energy above the lowest structure with this stoichiometry ... 0.03 eV/f.u.
data_CdSbAu2
_cell_length_a 3.688
_cell_length_b 4.215
_cell_length_c 5.576
_cell_angle_alpha 90.00
_cell_angle_beta 108.60
_cell_angle_gamma 90.00
_space_group_name_H-M_alt 'P 1 m 1'
_space_group_IT_number 6
_space_group_name_Hall 'P -2y'
loop_
_atom_site_label
_atom_site_type_symbol
_atom_site_fract_x
_atom_site_fract_y
_atom_site_fract_z
Cd1 Cd 0.000 0.000 0.000
Sb1 Sb 0.708 0.500 0.419
Au1 Au 0.264 0.000 0.536
Au2 Au 0.452 0.500 0.898